First-principles (GGA-PBEsol) data for a geometry-optimized In2Ga2Hg structure, as listed in Alexandria via LeMat-Bulk.

It has space group I4/mmm (No. 139), with a = 3.830 Å, b = 3.830 Å, c = 15.450 Å, α = 90.00°, β = 90.00° and γ = 90.00°. The asymmetric unit holds In at (0.000, 0.000, 0.102), Ga at (0.000, 0.500, 0.250) and Hg at (0.000, 0.000, 0.500).

The total magnetization comes out at 0.00 μB per cell. The calculation puts the energy above the most stable polymorph in this dataset at 0.000 eV per atom. The volume comes out at 22.67 A^3/atom. The calculation puts the formation energy at 49.1 meV per atom.